[1]
First-principles (PBE) data for a relaxed PaTlHgO5 crystal, as listed in the Alexandria database.

Computed properties:
uncorrected formation energy = -13.875 eV per formula unit
crystal system = monoclinic

a b c (Å): 6.1263 6.1263 7.8615
angles (deg): 94.78 94.78 120.10
Last column: nearest neighbours and their distance in Å.
Sites, in units of the cell vectors:
Pa 0.0000 0.0000 0.0000  6 O 2.16-2.22
Pa 0.0000 0.0000 0.5000  6 O 2.16-2.22
Tl 0.3234 0.6766 0.7500  2 O 2.05
Tl 0.6766 0.3234 0.2500  2 O 2.05
Hg 0.3665 0.6335 0.2500  2 O 2.10
Hg 0.6335 0.3665 0.7500  2 O 2.10
O 0.0178 0.3339 0.6316  1 Tl 2.05, 1 Pa 2.16
O 0.0980 0.9020 0.7500  2 Pa 2.22, 1 Tl 2.39
O 0.2126 0.4163 0.0038  1 Hg 2.10, 1 Pa 2.20
O 0.3339 0.0178 0.1316  1 Tl 2.05, 1 Pa 2.16
O 0.4163 0.2126 0.5038  1 Hg 2.10, 1 Pa 2.20
O 0.5837 0.7874 0.4962  1 Hg 2.10, 1 Pa 2.20
O 0.6661 0.9822 0.8684  1 Tl 2.05, 1 Pa 2.16
O 0.7874 0.5837 0.9962  1 Hg 2.10, 1 Pa 2.20
O 0.9020 0.0980 0.2500  2 Pa 2.22, 1 Tl 2.39
O 0.9822 0.6661 0.3684  1 Tl 2.05, 1 Pa 2.16

[2]
First-principles (PBE) data for a relaxed CeHoTl2 crystal, as listed in the Alexandria database.

Computed properties:
crystal system = tetragonal
energy relative to the elements = -259 meV/atom

a b c (Å): 5.0064 5.0064 4.4889
angles (deg): 90.00 90.00 90.00
Last column: nearest neighbours and their distance in Å.
Sites, in units of the cell vectors:
Ce 0.0000 0.0000 0.0000  8 Tl 3.36, 4 Ho 3.54
Ho 0.5000 0.5000 0.0000  8 Tl 3.36, 4 Ce 3.54
Tl 0.0000 0.5000 0.5000  4 Ho 3.36, 4 Ce 3.36, 4 Tl 3.54
Tl 0.5000 0.0000 0.5000  4 Ho 3.36, 4 Ce 3.36, 4 Tl 3.54

[3]
First-principles (PBE) data for a relaxed NbCrOs2 crystal, as listed in the Alexandria database.

Computed properties:
crystal system = tetragonal
energy relative to the elements = -14 meV/atom

a b c (Å): 2.7959 2.7959 7.5126
angles (deg): 90.00 90.00 90.00
Last column: nearest neighbours and their distance in Å.
Sites, in units of the cell vectors:
Nb 0.0000 0.0000 0.0000  4 Nb 2.80, 8 Os 2.90
Cr 0.0000 0.0000 0.5000  8 Os 2.56, 4 Cr 2.80
Os 0.5000 0.5000 0.2828  4 Cr 2.56, 4 Os 2.80
Os 0.5000 0.5000 0.7172  4 Cr 2.56, 4 Os 2.80

[4]
First-principles (PBE) data for a relaxed La2TcSe crystal, as listed in the Alexandria database.

Computed properties:
uncorrected formation energy = -0.348 eV per formula unit
crystal system = cubic

a b c (Å): 5.0467 5.0467 5.0467
angles (deg): 60.00 60.00 60.00
Last column: nearest neighbours and their distance in Å.
Sites, in units of the cell vectors:
La 0.0000 0.0000 0.0000  4 Tc 3.09, 4 La 3.09
La 0.2500 0.2500 0.2500  4 La 3.09, 4 Se 3.09
Tc 0.7500 0.7500 0.7500  4 La 3.09, 4 Se 3.09
Se 0.5000 0.5000 0.5000  4 Tc 3.09, 4 La 3.09

[5]
First-principles (PBE) data for a relaxed Pm3Cd2Ni crystal, as listed in the Alexandria database.

Computed properties:
crystal system = orthorhombic
energy relative to the elements = -234 meV/atom

a b c (Å): 8.7739 8.7739 7.3006
angles (deg): 90.00 90.00 35.19
Last column: nearest neighbours and their distance in Å.
Sites, in units of the cell vectors:
Pm 0.0058 0.9942 0.7500  2 Ni 2.65
Pm 0.3674 0.3674 0.0000  2 Ni 2.87
Pm 0.3674 0.3674 0.5000  2 Ni 2.87
Pm 0.6326 0.6326 0.0000  2 Ni 2.87
Pm 0.6326 0.6326 0.5000  2 Ni 2.87
Pm 0.9942 0.0058 0.2500  2 Ni 2.65
Cd 0.1975 0.1984 0.2500  2 Cd 3.17, 7 Pm 3.31-3.40
Cd 0.1984 0.1975 0.7500  2 Cd 3.17, 7 Pm 3.31-3.40
Cd 0.8016 0.8025 0.2500  2 Cd 3.17, 7 Pm 3.31-3.40
Cd 0.8025 0.8016 0.7500  2 Cd 3.17, 7 Pm 3.31-3.40
Ni 0.4941 0.5059 0.2500  6 Pm 2.65-2.87
Ni 0.5059 0.4941 0.7500  6 Pm 2.65-2.87

[6]
First-principles (PBE) data for a relaxed H12Pd5Rh3 crystal, as listed in the Alexandria database.

Computed properties:
crystal system = triclinic
E = -4.443 eV/atom

a b c (Å): 2.9016 8.1714 8.1732
angles (deg): 119.87 90.08 90.20
Last column: nearest neighbours and their distance in Å.
Sites, in units of the cell vectors:
H 0.0000 0.0000 0.0000  1 Rh 1.69, 2 Pd 1.83-1.87
H 0.0003 0.0586 0.4212  1 Rh 1.69, 2 Pd 1.83-1.88
H 0.0023 0.4216 0.3621  1 Rh 1.69, 2 Pd 1.83-1.87
H 0.0175 0.7153 0.0130  3 Pd 1.82-2.03, 1 Rh 1.82
H 0.0238 0.4095 0.0641  2 Pd 1.82-1.90, 1 Rh 1.83
H 0.0248 0.3566 0.7069  1 Rh 1.82, 2 Pd 1.83-1.91
H 0.5102 0.9220 0.2173  2 Rh 1.80-1.82, 1 Pd 1.89
H 0.5113 0.7333 0.3425  2 Pd 1.81-1.94, 2 Rh 1.85-1.86
H 0.5128 0.0793 0.7539  2 Pd 1.81-1.94, 2 Rh 1.85-1.86
H 0.5127 0.2043 0.0676  2 Rh 1.80-1.82, 1 Pd 1.89
H 0.5131 0.3536 0.4983  2 Rh 1.80-1.82, 1 Pd 1.89
H 0.5182 0.6669 0.6885  2 Pd 1.81-1.94, 2 Rh 1.85-1.86
Pd 0.4882 0.8430 0.9576  6 H 1.83-2.03
Pd 0.4910 0.1730 0.5778  6 H 1.83-2.04
Pd 0.4915 0.4640 0.2476  6 H 1.83-2.04
Pd 0.5426 0.8267 0.5951  3 H 1.81
Pd 0.7082 0.4929 0.9269  3 H 1.82-1.83
Rh 0.0144 0.8236 0.2691  6 H 1.69-1.86
Rh 0.0167 0.1528 0.9175  6 H 1.69-1.86
Rh 0.0187 0.5036 0.5971  6 H 1.69-1.86